Record 1
Computed, not measured: a relaxed structure of TiNb2Br6 at the PBE level of DFT.

The space group is C2/c (No. 15) and the conventional cell measures 13.650, 11.687 and 6.025 Å, with angles of 90.00, 114.00 and 90.00 degrees. Symmetry generates all atoms from Ti at (0.000, 0.082, 0.250), Nb at (0.239, 0.061, 0.485), Br at (0.115, 0.107, 0.723), Br at (0.128, 0.412, 0.726) and Br at (0.135, 0.249, 0.231).


Record 2
Computed, not measured: a relaxed structure of NbTl3Br6 at the PBE level of DFT.

The space group is Fmmm (No. 69) and the conventional cell measures 9.462, 11.604 and 14.214 Å, with angles of 90.00, 90.00 and 90.00 degrees. Symmetry generates all atoms from Nb at (0.000, 0.000, 0.000), Tl at (0.000, 0.000, 0.500), Tl at (0.250, 0.250, 0.250), Br at (0.000, 0.227, 0.000) and Br at (0.199, 0.000, 0.131).


Record 3
Computed, not measured: a relaxed structure of NbTlBr3 at the PBE level of DFT.

The space group is Pm-3m (No. 221) and the conventional cell measures 5.436, 5.436 and 5.436 Å, with angles of 90.00, 90.00 and 90.00 degrees. Symmetry generates all atoms from Nb at (0.000, 0.000, 0.000), Tl at (0.500, 0.500, 0.500) and Br at (0.000, 0.000, 0.500).

For the offset from the most stable computed form, the calculation gives 0.264 eV/atom.


| no. | DFT total energy (eV/atom) | uncorrected formation energy (meV/atom) |
| --- | --- | --- |
| 1 | -4.85 | -619 |
| 2 | -3.47 | -754 |
| 3 | -3.96 | -470 |